Record 1
DFT (PBE) results for a relaxed structure of TlAgIr2.

```
TlAgIr2
1.0
2.8510 0.0000 0.0000
0.0000 3.7078 0.0000
0.0000 0.0000 7.2240
Tl Ir Ag
1 2 1
direct
0.0000 0.0000 0.4862
0.0000 0.0000 0.0386
0.5000 0.5000 0.1888
0.5000 0.5000 0.7865
```

Calculated values
The energy above the most stable polymorph in this dataset comes out at 0.0258 eV per atom. Its space group is Pmm2 (25). Its energy of formation is 0.421 eV per atom.


Record 2
DFT (PBE) results for a relaxed structure of TlAgIr.

```
TlAgIr
1.0
-1.4744 -3.2241 -2.8022
-1.1598 -4.0525 1.6290
-4.3431 -1.2464 0.0753
Tl Ir Ag
1 1 1
direct
0.0000 0.0000 0.0000
0.7500 0.7500 0.7500
0.5000 0.5000 0.5000
```

Calculated values
The energy above the most stable polymorph in this dataset comes out at 0.0273 eV per atom. Its space group is F-43m (216). Its energy of formation is 0.534 eV per atom.


Record 3
DFT (PBE) results for a relaxed structure of TlAg2Ir.

```
TlAg2Ir
1.0
-0.1170 1.6332 2.5924
-2.6351 1.2701 -0.9190
-4.0409 -5.8494 3.5027
Tl Ir Ag
1 1 2
direct
0.5000 0.5000 0.7294
0.0000 0.0000 0.4914
0.0000 0.0000 0.0183
0.5000 0.5000 0.2608
```

Calculated values
The energy above the most stable polymorph in this dataset comes out at 0.0712 eV per atom. Its space group is P4mm (99). Its energy of formation is 0.387 eV per atom.


Record 4
DFT (PBE) results for a relaxed structure of TlAg2Ir.

```
TlAg2Ir
1.0
0.0000 3.3189 3.3189
3.3189 0.0000 3.3189
3.3189 3.3189 0.0000
Tl Ir Ag
1 1 2
direct
0.5000 0.5000 0.5000
0.0000 0.0000 0.0000
0.2500 0.2500 0.2500
0.7500 0.7500 0.7500
```

Calculated values
The energy above the most stable polymorph in this dataset comes out at 0.2102 eV per atom. Its space group is Fm-3m (225). Its energy of formation is 0.526 eV per atom.


Record 5
DFT (PBE) results for a relaxed structure of TlAg2Ir.

```
TlAg2Ir
1.0
2.9442 -0.0110 0.0000
-1.3361 2.6236 0.0000
0.0000 0.0000 9.8081
Tl Ir Ag
1 1 2
direct
0.5000 0.5000 0.7368
0.0000 0.0000 0.4933
0.0000 0.0000 0.0136
0.5000 0.5000 0.2563
```

Calculated values
The energy above the most stable polymorph in this dataset comes out at 0.1221 eV per atom. Its space group is Cmm2 (35). Its energy of formation is 0.438 eV per atom.


Record 6
DFT (PBE) results for a relaxed structure of Tl3AgIr.

```
Tl3AgIr
1.0
5.3005 0.0000 0.0000
0.0000 5.3005 0.0000
0.0000 0.0000 5.3005
Tl Ir Ag
3 1 1
direct
0.0000 0.5000 0.0000
0.0000 0.0000 0.5000
0.5000 0.0000 0.0000
0.0000 0.0000 0.0000
0.5000 0.5000 0.5000
```

Calculated values
The energy above the most stable polymorph in this dataset comes out at 0.0000 eV per atom. Its space group is Pm-3m (221). Its energy of formation is 0.302 eV per atom.